[1]
DFT (PBE) results for a relaxed Tb2PrHoEr5 crystal.

The value obtained for the total energy is -155.5 eV/cell. The total magnetic moment is 0.00 μB per cell.

The structure belongs to space group I4/mcm (No. 140); the cell edges are 8.8767, 8.8767 and 14.6927 Å and the angles 90.00°, 90.00° and 90.00°. Symmetry generates all atoms from Tb at (0.1131, 0.3869, 0.0000), Pr at (0.0000, 0.0000, 0.2500), Ho at (0.0000, 0.5000, 0.2500), Er at (0.0000, 0.0000, 0.0000) and Er at (0.2060, 0.2940, 0.3675).

[2]
DFT (PBE) results for a relaxed Ta2CoRh crystal.

The value obtained for the total energy is -76.8 eV/cell. The total magnetic moment is 3.28 μB per cell.

The structure belongs to space group Cmm2 (No. 35); the cell edges are 3.6606, 4.2543 and 7.9510 Å and the angles 90.00°, 90.00° and 90.00°. Symmetry generates all atoms from Ta at (0.0000, 0.0000, 0.0000), Ta at (0.0000, 0.5000, 0.2904), Co at (0.0000, 0.5000, 0.7609) and Rh at (0.0000, 0.0000, 0.5475).

[3]
DFT (PBE) results for a relaxed Cs2BWI6 crystal.

The uncorrected formation energy is -0.206 eV/atom. The total magnetic moment is 6.00 μB per cell.

The structure belongs to space group I4/mmm (No. 139); the cell edges are 8.1838, 8.1838 and 11.5424 Å and the angles 90.00°, 90.00° and 90.00°. Symmetry generates all atoms from Cs at (0.0000, 0.5000, 0.2500), B at (0.0000, 0.0000, 0.0000), W at (0.0000, 0.0000, 0.5000), I at (0.0000, 0.0000, 0.2544) and I at (0.2449, 0.2449, 0.5000).

[4]
DFT (PBE) results for a relaxed MnVH2 crystal.

The total magnetic moment is 3.37 μB per cell. The value obtained for the excess energy over the best structure of this formula in the dataset is 15.0 meV per atom.

The structure belongs to space group R-3m (No. 166, hexagonal axes); the cell edges are 2.7062, 2.7062 and 13.2873 Å and the angles 90.00°, 90.00° and 120.00°. Symmetry generates all atoms from Mn at (0.0000, 0.0000, 0.0000), V at (0.0000, 0.0000, 0.5000) and H at (0.0000, 0.0000, 0.2549).

[5]
DFT (PBE) results for a relaxed MnBr crystal.

The uncorrected formation energy is 0.023 eV/atom. The total magnetic moment is 36.84 μB per cell.

The structure belongs to space group P2_12_12_1 (No. 19); the cell edges are 5.4713, 7.9992 and 10.1026 Å and the angles 90.00°, 90.00° and 90.00°. Symmetry generates all atoms from Mn at (0.0439, 0.2480, 0.4260), Mn at (0.0470, 0.3843, 0.6863), Br at (0.0012, 0.0368, 0.2278) and Br at (0.0009, 0.6884, 0.6202).

[6]
DFT (PBE) results for a relaxed NdB2Os2 crystal.

The value obtained for the total energy is -84.7 eV/cell. The total magnetic moment is 0.00 μB per cell.

The structure belongs to space group I4/mmm (No. 139); the cell edges are 4.0291, 4.0291 and 9.8842 Å and the angles 90.00°, 90.00° and 90.00°. Symmetry generates all atoms from Nd at (0.0000, 0.0000, 0.0000), B at (0.0000, 0.0000, 0.3192) and Os at (0.0000, 0.5000, 0.2500).